Computed, not measured: crystalline LiMn3Ni at its relaxed geometry at the PBE level of DFT.

Properties
ΔH_f (0 K), meV per atom: 1171
Energy relative to the lowest polymorph listed for this composition, meV per atom: 463

a = 4.134 Å, b = 4.134 Å, c = 4.134 Å
α = 90.00°, β = 90.00°, γ = 90.00°
Site moments in Bohr magnetons follow the coordinates.
Fractional coordinates of all 5 atoms:
Ni 0.500 0.500 0.500  0.72
Mn 0.000 0.500 0.000  3.34
Mn 0.000 0.000 0.500  3.47
Mn 0.500 0.000 0.000  3.42
Li 0.000 0.000 0.000  -0.01


Computed, not measured: crystalline AlMoP at its relaxed geometry at the PBE level of DFT.

Properties
ΔH_f (0 K), meV per atom: -280

a = 3.033 Å, b = 3.033 Å, c = 5.832 Å
α = 90.00°, β = 90.00°, γ = 120.00°
Fractional coordinates of all 3 atoms:
P 0.333 0.667 0.644
Mo 0.667 0.333 0.359
Al 0.000 0.000 0.997


Computed, not measured: crystalline Na3Np2CrN6 at its relaxed geometry at the PBE level of DFT.

Properties
Formation energy (no corrections), meV/atom: -665.0

a = 5.719 Å, b = 5.719 Å, c = 5.947 Å
α = 99.04°, β = 99.04°, γ = 120.11°
Site moments in Bohr magnetons follow the coordinates.
Fractional coordinates of all 12 atoms:
Na 0.159 0.841 0.500  0.00
Na 0.841 0.159 0.500  0.00
Na 0.500 0.500 0.500  0.00
Np 0.333 0.667 0.000  1.52
Np 0.667 0.333 0.000  1.52
Cr 0.000 0.000 0.000  2.49
N 0.938 0.607 0.815  -0.10
N 0.730 0.730 0.186  -0.10
N 0.062 0.393 0.185  -0.10
N 0.607 0.938 0.815  -0.10
N 0.270 0.270 0.814  -0.10
N 0.393 0.062 0.185  -0.10


Computed, not measured: crystalline YTl2Cl at its relaxed geometry at the PBE level of DFT.

Properties
Energy relative to the lowest polymorph listed for this composition, meV per atom: 430
Formation energy (no corrections), meV/atom: -314.6

a = 9.878 Å, b = 9.878 Å, c = 9.878 Å
α = 21.51°, β = 21.51°, γ = 21.51°
Fractional coordinates of all 4 atoms:
Cl 0.750 0.750 0.750
Tl 0.005 0.005 0.005
Tl 0.495 0.495 0.495
Y 0.250 0.250 0.250


Computed, not measured: crystalline Cu2HgPd2 at its relaxed geometry at the PBE level of DFT.

Properties
ΔH_f (0 K), meV per atom: 71
Energy relative to the lowest polymorph listed for this composition, meV per atom: 99

a = 3.484 Å, b = 3.484 Å, c = 7.189 Å
α = 75.98°, β = 75.98°, γ = 90.00°
Fractional coordinates of all 5 atoms:
Cu 0.750 0.250 0.500
Cu 0.250 0.750 0.500
Hg 0.000 0.000 0.000
Pd 0.394 0.394 0.213
Pd 0.606 0.606 0.787


Computed, not measured: crystalline BaScTa at its relaxed geometry at the PBE level of DFT.

Properties
ΔH_f (0 K), meV per atom: 878
Energy relative to the lowest polymorph listed for this composition, meV per atom: 282

a = 5.454 Å, b = 5.454 Å, c = 3.023 Å
α = 90.00°, β = 90.00°, γ = 120.00°
Fractional coordinates of all 3 atoms:
Ba 0.000 0.000 0.167
Sc 0.667 0.333 0.167
Ta 0.333 0.667 0.666


Computed, not measured: crystalline Rb2TaIBr6 at its relaxed geometry at the PBE level of DFT.

Properties
Formation energy (no corrections), meV/atom: -1059.0

a = 8.673 Å, b = 8.673 Å, c = 8.674 Å
α = 60.00°, β = 60.00°, γ = 90.00°
Fractional coordinates of all 10 atoms:
I 0.500 0.500 0.000
Br 0.208 0.208 0.585
Br 0.792 0.792 0.415
Br 0.208 0.208 0.000
Br 0.792 0.792 0.000
Br 0.792 0.208 0.000
Br 0.208 0.792 0.000
Rb 0.750 0.250 0.500
Rb 0.250 0.750 0.500
Ta 0.000 0.000 0.000


Computed, not measured: crystalline AcPm4Er4 at its relaxed geometry at the PBE level of DFT.

Properties
ΔH_f (0 K), meV per atom: 27

a = 9.031 Å, b = 10.396 Å, c = 12.655 Å
α = 95.83°, β = 103.45°, γ = 142.90°
Fractional coordinates of all 18 atoms:
Ac 0.499 0.499 0.751
Ac 0.501 0.501 0.249
Pm 0.174 0.841 0.476
Pm 0.173 0.837 0.975
Pm 0.507 0.840 0.697
Pm 0.160 0.498 0.361
Pm 0.840 0.502 0.639
Pm 0.493 0.160 0.303
Pm 0.827 0.163 0.025
Pm 0.826 0.159 0.524
Er 0.162 0.498 0.865
Er 0.502 0.836 0.193
Er 0.166 0.168 0.416
Er 0.172 0.170 0.918
Er 0.834 0.832 0.584
Er 0.828 0.830 0.082
Er 0.838 0.502 0.135
Er 0.498 0.164 0.807


Computed, not measured: crystalline HfTlFeB2 at its relaxed geometry at the PBE level of DFT.

Properties
ΔH_f (0 K), meV per atom: 2084

a = 4.239 Å, b = 4.826 Å, c = 4.239 Å
α = 90.00°, β = 90.00°, γ = 90.00°
Site moments in Bohr magnetons follow the coordinates.
Fractional coordinates of all 5 atoms:
Tl 0.000 0.000 0.000  -0.03
B 0.000 0.000 0.500  0.03
B 0.500 0.000 0.000  0.01
Hf 0.500 0.500 0.500  -0.23
Fe 0.000 0.500 0.000  2.38


Computed, not measured: crystalline Ac4PmTl at its relaxed geometry at the PBE level of DFT.

Properties
ΔH_f (0 K), meV per atom: -88
Energy relative to the lowest polymorph listed for this composition, meV per atom: 0

a = 3.965 Å, b = 3.965 Å, c = 15.261 Å
α = 90.00°, β = 90.00°, γ = 90.00°
Fractional coordinates of all 6 atoms:
Ac 0.500 0.500 0.170
Ac 0.000 0.000 0.645
Ac 0.000 0.000 0.355
Ac 0.500 0.500 0.830
Pm 0.000 0.000 0.000
Tl 0.500 0.500 0.500


Computed, not measured: crystalline Cs3In2I7 at its relaxed geometry at the PBE level of DFT.

Properties
Formation energy (no corrections), meV/atom: -1024.8

a = 6.132 Å, b = 6.132 Å, c = 16.498 Å
α = 100.71°, β = 100.71°, γ = 90.00°
Fractional coordinates of all 12 atoms:
Cs 0.319 0.319 0.639
Cs 0.681 0.681 0.361
Cs 0.500 0.500 0.000
In 0.100 0.100 0.201
In 0.900 0.900 0.799
I 0.000 0.000 0.000
I 0.903 0.403 0.807
I 0.403 0.903 0.807
I 0.097 0.597 0.193
I 0.597 0.097 0.193
I 0.197 0.197 0.395
I 0.803 0.803 0.605


Computed, not measured: crystalline AcHf2TiO8 at its relaxed geometry at the PBE level of DFT.

Properties
Formation energy (no corrections), meV/atom: -3074.4

a = 4.920 Å, b = 4.920 Å, c = 6.838 Å
α = 90.00°, β = 90.00°, γ = 88.06°
Site moments in Bohr magnetons follow the coordinates.
Fractional coordinates of all 12 atoms:
Ac 0.000 0.000 0.500  0.06
Hf 0.500 0.500 0.771  -0.01
Hf 0.500 0.500 0.229  -0.01
Ti 0.000 0.000 0.000  -0.01
O 0.199 0.800 0.203  0.02
O 0.698 0.699 0.000  0.05
O 0.801 0.200 0.203  0.02
O 0.801 0.200 0.797  0.02
O 0.302 0.301 0.000  0.05
O 0.199 0.800 0.797  0.02
O 0.662 0.663 0.500  0.24
O 0.338 0.337 0.500  0.24